Entry 1:
Density functional theory data (PBE-GGA) for crystalline Ti3MnRu at its relaxed geometry.

a = 4.382 Å, b = 4.382 Å, c = 4.382 Å
α = 90.00°, β = 90.00°, γ = 90.00°
Positions (direct):
Ti (0.000, 0.000, 0.500)
Ti (0.000, 0.500, 0.000)
Ti (0.500, 0.000, 0.000)
Ru (0.500, 0.500, 0.500)
Mn (0.000, 0.000, 0.000)

Computed properties:
Distance to the lowest polymorph of the same formula: 0.0000 eV per atom
Formation energy: 0.462 eV per atom



Entry 2:
Density functional theory data (PBE-GGA) for crystalline Sr2ZrTe at its relaxed geometry.

a = 3.974 Å, b = 3.974 Å, c = 8.667 Å
α = 90.00°, β = 90.00°, γ = 90.00°
Positions (direct):
Zr (0.500, 0.500, 0.750)
Sr (0.000, 0.000, 0.473)
Sr (0.000, 0.000, 0.027)
Te (0.500, 0.500, 0.250)

Computed properties:
Formation energy (no corrections): -25.2 kJ per mole of atoms



Entry 3:
Density functional theory data (PBE-GGA) for crystalline NdYCoNi at its relaxed geometry.

a = 3.935 Å, b = 3.982 Å, c = 5.700 Å
α = 90.00°, β = 110.19°, γ = 90.00°
Positions (direct):
Co (0.462, 0.500, 0.924)
Ni (0.330, 0.000, 0.659)
Y (0.030, 0.000, 0.061)
Nd (0.747, 0.500, 0.495)

Computed properties:
Distance to the lowest polymorph of the same formula: 0.0000 eV per atom
Formation energy: -0.229 eV per atom



Entry 4:
Density functional theory data (PBE-GGA) for crystalline BaSr2AgN at its relaxed geometry.

a = 5.244 Å, b = 5.244 Å, c = 5.682 Å
α = 90.00°, β = 90.00°, γ = 90.00°
Positions (direct):
Sr (0.000, 0.500, 0.000)
Sr (0.500, 0.000, 0.000)
Ag (0.500, 0.500, 0.500)
N (0.000, 0.000, 0.000)
Ba (0.000, 0.000, 0.500)

Computed properties:
Formation energy (no corrections): -31.8 kJ per mole of atoms



Entry 5:
Density functional theory data (PBE-GGA) for crystalline MnP2Br at its relaxed geometry.

a = 4.877 Å, b = 4.877 Å, c = 2.930 Å
α = 90.00°, β = 90.00°, γ = 90.00°
Positions (direct):
P (0.500, 0.500, 0.000)
P (0.000, 0.000, 0.000)
Br (0.500, 0.000, 0.500)
Mn (0.000, 0.500, 0.500)

Computed properties:
Distance to the lowest polymorph of the same formula: 0.8424 eV per atom
Formation energy (no corrections): 74.7 kJ per mole of atoms



Entry 6:
Density functional theory data (PBE-GGA) for crystalline Sn4B2Sb at its relaxed geometry.

a = 5.621 Å, b = 5.621 Å, c = 7.192 Å
α = 67.00°, β = 67.00°, γ = 90.00°
Positions (direct):
Sn (0.500, 0.000, 0.000)
Sn (0.746, 0.746, 0.507)
Sn (0.254, 0.254, 0.493)
Sn (0.000, 0.500, 0.000)
Sb (0.000, 0.000, 0.000)
B (0.565, 0.565, 0.870)
B (0.435, 0.435, 0.130)

Computed properties:
Formation energy (no corrections): 77.8 kJ per mole of atoms



Entry 7:
Density functional theory data (PBE-GGA) for crystalline TbOsPb2O8 at its relaxed geometry.

a = 5.115 Å, b = 5.115 Å, c = 6.775 Å
α = 90.00°, β = 90.00°, γ = 89.39°
Positions (direct):
O (0.738, 0.749, 0.000)
O (0.177, 0.815, 0.215)
O (0.311, 0.305, 0.500)
O (0.177, 0.815, 0.785)
O (0.262, 0.251, 0.000)
O (0.823, 0.185, 0.215)
O (0.689, 0.695, 0.500)
O (0.823, 0.185, 0.785)
Tb (0.000, 0.000, 0.500)
Pb (0.500, 0.500, 0.247)
Pb (0.500, 0.500, 0.753)
Os (0.000, 0.000, 0.000)

Computed properties:
Formation energy (no corrections): -138.5 kJ per mole of atoms



Entry 8:
Density functional theory data (PBE-GGA) for crystalline Tb3GeB2Pt9 at its relaxed geometry.

a = 5.749 Å, b = 5.749 Å, c = 9.197 Å
α = 90.00°, β = 90.00°, γ = 120.00°
Positions (direct):
Pt (0.000, 0.500, 0.000)
Pt (0.500, 0.500, 0.000)
Pt (0.331, 0.166, 0.710)
Pt (0.166, 0.331, 0.290)
Pt (0.166, 0.834, 0.290)
Pt (0.669, 0.834, 0.290)
Pt (0.500, 0.000, 0.000)
Pt (0.834, 0.166, 0.710)
Pt (0.834, 0.669, 0.710)
B (0.333, 0.667, 0.149)
B (0.667, 0.333, 0.851)
Tb (0.333, 0.667, 0.604)
Tb (0.000, 0.000, 0.000)
Tb (0.667, 0.333, 0.396)
Ge (0.000, 0.000, 0.500)

Computed properties:
Formation energy: -0.842 eV per atom



Entry 9:
Density functional theory data (PBE-GGA) for crystalline TeRuO2 at its relaxed geometry.

a = 5.943 Å, b = 5.943 Å, c = 5.943 Å
α = 60.00°, β = 60.00°, γ = 90.00°
Positions (direct):
Ru (0.250, 0.750, 0.500)
Ru (0.500, 0.500, 0.000)
O (0.450, 0.125, 0.250)
O (0.300, 0.625, 0.250)
O (0.375, 0.550, 0.750)
O (0.875, 0.700, 0.750)
Te (0.750, 0.250, 0.500)
Te (0.000, 0.000, 0.000)

Computed properties:
Formation energy (no corrections): -11.6 kJ per mole of atoms



Entry 10:
Density functional theory data (PBE-GGA) for crystalline Mn2CrP at its relaxed geometry.

a = 4.438 Å, b = 4.631 Å, c = 2.606 Å
α = 76.99°, β = 83.27°, γ = 116.50°
Positions (direct):
Cr (0.500, 0.500, 0.000)
Mn (0.000, 0.000, 0.000)
Mn (0.500, 0.000, 0.500)
P (0.000, 0.500, 0.500)

Computed properties:
Formation energy: -0.010 eV per atom



Entry 11:
Density functional theory data (PBE-GGA) for crystalline SrLiScPt2 at its relaxed geometry.

a = 4.256 Å, b = 4.256 Å, c = 6.698 Å
α = 108.52°, β = 108.52°, γ = 90.00°
Positions (direct):
Sr (0.000, 0.000, 0.000)
Pt (0.387, 0.387, 0.775)
Pt (0.613, 0.613, 0.225)
Li (0.750, 0.250, 0.500)
Sc (0.250, 0.750, 0.500)

Computed properties:
Formation energy: -0.835 eV per atom



Entry 12:
Density functional theory data (PBE-GGA) for crystalline NpAl2Ga3 at its relaxed geometry.

a = 5.209 Å, b = 6.029 Å, c = 8.104 Å
α = 111.84°, β = 90.00°, γ = 90.00°
Positions (direct):
Al (0.000, 0.275, 0.000)
Al (0.500, 0.275, 0.000)
Al (0.500, 0.725, 0.000)
Al (0.000, 0.725, 0.000)
Ga (0.250, 0.161, 0.322)
Ga (0.250, 0.082, 0.694)
Ga (0.750, 0.918, 0.306)
Ga (0.750, 0.387, 0.306)
Ga (0.250, 0.613, 0.694)
Ga (0.750, 0.839, 0.678)
Np (0.250, 0.674, 0.347)
Np (0.750, 0.326, 0.653)

Computed properties:
Formation energy: 0.014 eV per atom



Quick rundown of mass density, same order as above: 5.91 4.78 6.95 4.62 4.69 5.42 8.35 14.68 5.83 7.08 8.12 7.03 g cm⁻³
Quick rundown of density of states at the Fermi level, same order as above: 5.04 5.86 3.11 2.56 2.19 2.96 3.97 5.25 4.55 4.18 2.59 21.35 states/eV per cell
Quick rundown of calculated total energy, same order as above: -39.82 -16.10 -25.03 -18.11 -18.57 -27.84 -80.17 -98.87 -45.63 -33.41 -26.19 -58.84 eV for the cell shown